{"formula": "BaMg5Hg3", "functional": "GGA-PBE", "state": "optimized geometry", "cell": [[2.267, -7.458, 0.000], [2.267, 7.458, 0.000], [0.000, 0.000, 14.189]], "species": ["Ba", "Ba", "Mg", "Mg", "Mg", "Mg", "Mg", "Mg", "Mg", "Mg", "Mg", "Mg", "Hg", "Hg", "Hg", "Hg", "Hg", "Hg"], "frac_coords": [[0.167, 0.833, 0.750], [0.833, 0.167, 0.250], [0.000, 0.000, 0.000], [0.000, 0.000, 0.500], [0.195, 0.805, 0.058], [0.195, 0.805, 0.442], [0.442, 0.558, 0.644], [0.442, 0.558, 0.856], [0.558, 0.442, 0.144], [0.558, 0.442, 0.356], [0.805, 0.195, 0.558], [0.805, 0.195, 0.942], [0.128, 0.872, 0.250], [0.383, 0.617, 0.056], [0.383, 0.617, 0.444], [0.617, 0.383, 0.556], [0.617, 0.383, 0.944], [0.872, 0.128, 0.750]], "formation_enthalpy_0k_ev_per_atom": -0.277, "energy_ev_per_atom": -1.48, "volume_a3_per_cell": 479.7, "spacegroup": "Cmcm", "magmom_total_mub_per_cell": 0.0}